FeCuIO2: optimized geometry, PBE with a Hubbard U.

Excess energy over the best structure of this formula in the dataset, eV/f.u.: 2.65
D(E_F), states/eV/f.u.: 2.9
Raw total energy, eV per cell: -19.93

Lattice parameters (Å, degrees): 3.8650 3.8650 5.6403 90.00 90.00 90.00
Last column: nearest neighbours and their distance in Å.
Space group P4/mmm (No. 123)
Symmetry-distinct sites (fractional):
Fe: 0.0000 0.0000 0.0000 [1 per cell]  4 I 2.73
Cu: 0.5000 0.5000 0.5000 [1 per cell]  4 O 1.93
I: 0.5000 0.5000 0.0000 [1 per cell]  4 Fe 2.73, 2 Cu 2.82
O: 0.0000 0.5000 0.5000 [2 per cell]  2 Cu 1.93